[1]
# TaPdW3, optimized geometry, DFT PBE
data_TaPdW3
_cell_length_a 4.6832
_cell_length_b 4.6832
_cell_length_c 4.6832
_cell_angle_alpha 90.00
_cell_angle_beta 90.00
_cell_angle_gamma 90.00
_space_group_name_H-M_alt 'P m -3 m'
_space_group_IT_number 221
_space_group_name_Hall '-P 4 2 3'
loop_
_atom_site_label
_atom_site_type_symbol
_atom_site_fract_x
_atom_site_fract_y
_atom_site_fract_z
Ta1 Ta 0.0000 0.0000 0.0000
Pd1 Pd 0.5000 0.5000 0.5000
W1 W 0.0000 0.5000 0.5000
# - Crystal system: cubic
# - Theoretical density: 13.56 g/cm3

=====

[2]
# TaPd3W, optimized geometry, DFT PBE
data_TaPd3W
_cell_length_a 4.7225
_cell_length_b 4.7225
_cell_length_c 4.7225
_cell_angle_alpha 90.00
_cell_angle_beta 90.00
_cell_angle_gamma 90.00
_space_group_name_H-M_alt 'P m -3 m'
_space_group_IT_number 221
_space_group_name_Hall '-P 4 2 3'
loop_
_atom_site_label
_atom_site_type_symbol
_atom_site_fract_x
_atom_site_fract_y
_atom_site_fract_z
Ta1 Ta 0.0000 0.0000 0.0000
Pd1 Pd 0.0000 0.5000 0.5000
W1 W 0.5000 0.5000 0.5000
# - Crystal system: cubic
# - Theoretical density: 10.78 g/cm3

=====

[3]
# TaPd2W, optimized geometry, DFT PBE
data_TaPd2W
_cell_length_a 7.1885
_cell_length_b 7.1885
_cell_length_c 5.3669
_cell_angle_alpha 90.00
_cell_angle_beta 90.00
_cell_angle_gamma 90.00
_space_group_name_H-M_alt 'I -4 2 d'
_space_group_IT_number 122
_space_group_name_Hall 'I -4 2bw'
loop_
_atom_site_label
_atom_site_type_symbol
_atom_site_fract_x
_atom_site_fract_y
_atom_site_fract_z
Ta1 Ta 0.0000 0.0000 0.0000
Pd1 Pd 0.2477 0.7500 0.6250
W1 W 0.0000 0.0000 0.5000
# - Crystal system: tetragonal
# - Theoretical density: 13.83 g/cm3

=====

[4]
# TaPd2W, optimized geometry, DFT PBE
data_TaPd2W
_cell_length_a 6.3980
_cell_length_b 6.3980
_cell_length_c 6.3980
_cell_angle_alpha 90.00
_cell_angle_beta 90.00
_cell_angle_gamma 90.00
_space_group_name_H-M_alt 'F m -3 m'
_space_group_IT_number 225
_space_group_name_Hall '-F 4 2 3'
loop_
_atom_site_label
_atom_site_type_symbol
_atom_site_fract_x
_atom_site_fract_y
_atom_site_fract_z
Ta1 Ta 0.0000 0.0000 0.0000
Pd1 Pd 0.2500 0.2500 0.2500
W1 W 0.0000 0.0000 0.5000
# - Crystal system: cubic
# - Theoretical density: 14.65 g/cm3

=====

[5]
# Ta5PdW4, optimized geometry, DFT PBE
data_Ta5PdW4
_cell_length_a 3.2592
_cell_length_b 3.2592
_cell_length_c 16.0670
_cell_angle_alpha 90.00
_cell_angle_beta 90.00
_cell_angle_gamma 90.00
_space_group_name_H-M_alt 'P 4/m m m'
_space_group_IT_number 123
_space_group_name_Hall '-P 4 2'
loop_
_atom_site_label
_atom_site_type_symbol
_atom_site_fract_x
_atom_site_fract_y
_atom_site_fract_z
Ta1 Ta 0.0000 0.0000 0.0000
Ta2 Ta 0.0000 0.0000 0.2012
Ta3 Ta 0.0000 0.0000 0.3967
Pd1 Pd 0.5000 0.5000 0.5000
W1 W 0.5000 0.5000 0.1000
W2 W 0.5000 0.5000 0.3027
# - Crystal system: tetragonal
# - Theoretical density: 16.99 g/cm3

=====

[6]
# ZrTaPdW, optimized geometry, DFT PBE
data_ZrTaPdW
_cell_length_a 6.5750
_cell_length_b 6.5750
_cell_length_c 6.5750
_cell_angle_alpha 90.00
_cell_angle_beta 90.00
_cell_angle_gamma 90.00
_space_group_name_H-M_alt 'F -4 3 m'
_space_group_IT_number 216
_space_group_name_Hall 'F -4 2 3'
loop_
_atom_site_label
_atom_site_type_symbol
_atom_site_fract_x
_atom_site_fract_y
_atom_site_fract_z
Zr1 Zr 0.0000 0.0000 0.0000
Ta1 Ta 0.0000 0.0000 0.5000
Pd1 Pd 0.2500 0.2500 0.7500
W1 W 0.2500 0.2500 0.2500
# - Crystal system: cubic
# - Theoretical density: 13.14 g/cm3

=====

| no. | spin magnetization (Bohr magnetons per cell) | ΔE_f (eV per atom) | E (eV/atom) |
| --- | --- | --- | --- |
| 1 | 0.000 | 2.226 | -8.9550 |
| 2 | 0.000 | 1.534 | -6.5431 |
| 3 | 0.000 | 0.465 | -8.3332 |
| 4 | 0.000 | 0.281 | -8.5172 |
| 5 | 0.000 | -0.114 | -11.7410 |
| 6 | 0.000 | -0.159 | -9.7959 |